First-principles (PBE) data for AcPuSnGe after structural relaxation, as listed in Alexandria via LeMat-Bulk.

Geometry as extended XYZ:
```
4
Lattice="5.4611 0.0000 0.0000 2.7305 4.7294 0.0000 2.7305 1.5765 4.4589" Properties=species:S:1:pos:R:3 pbc="T T T"
Sn 8.1916 4.7294 3.3442
Pu 0.0000 0.0000 0.0000
Ge 2.7305 1.5765 1.1147
Ac 5.4611 3.1529 2.2295
```

Computed properties:
ΔE_f (eV/atom): -0.3384

---

First-principles (PBE) data for CaGa8Ni4 after structural relaxation, as listed in Alexandria via LeMat-Bulk.

Geometry as extended XYZ:
```
13
Lattice="5.1748 0.0000 0.0000 2.5874 6.0971 0.0000 2.5874 0.0000 6.0971" Properties=species:S:1:pos:R:3 pbc="T T T"
Ga 7.7623 4.7340 4.7340
Ga 5.1748 2.0879 2.0879
Ga 2.5874 2.0879 4.0093
Ga 2.5874 4.0093 2.0879
Ga 5.1748 4.7340 1.3632
Ga 5.1748 1.3632 4.7340
Ga 2.5874 1.3632 1.3632
Ga 5.1748 4.0093 4.0093
Ni 3.8811 0.0000 3.0486
Ni 3.8811 3.0486 0.0000
Ni 1.2937 3.0486 0.0000
Ni 1.2937 0.0000 3.0486
Ca 0.0000 0.0000 0.0000
```

Computed properties:
ΔE_f (eV/atom): -0.3887

---

First-principles (PBE) data for TiInHgBr6 after structural relaxation, as listed in Alexandria via LeMat-Bulk.

Geometry as extended XYZ:
```
9
Lattice="7.2372 0.0029 0.0016 3.6211 6.2661 -0.0015 0.0016 -0.0028 6.8767" Properties=species:S:1:pos:R:3 pbc="T T T"
Br 4.5700 0.2257 1.9375
Br 2.6697 0.2268 4.9397
Br 5.7085 2.1966 4.9393
Br 1.5327 2.1960 1.9368
Br 4.7581 3.8428 1.9373
Br 2.4820 3.8424 4.9391
Hg 7.2384 4.1773 3.4383
In 10.8596 6.2661 6.8767
Ti 3.6211 2.0889 3.4383
```

Computed properties:
Energy relative to the elements, uncorrected (meV per atom): -810

---

First-principles (PBE) data for Pr2Ge6PdRh after structural relaxation, as listed in Alexandria via LeMat-Bulk.

Geometry as extended XYZ:
```
20
Lattice="6.2232 0.0000 0.0000 3.1116 5.3895 0.0000 3.1116 1.7965 12.8106" Properties=species:S:1:pos:R:3 pbc="T T T"
Rh 6.2232 3.5930 9.1231
Rh 6.2232 3.5930 3.6875
Pr 9.3348 5.3895 11.5651
Pr 3.1116 1.7965 1.2455
Pr 3.1116 1.7965 8.8137
Pr 9.3348 5.3895 3.9969
Ge 4.3769 2.5270 4.9250
Ge 6.2232 1.4611 7.8857
Ge 8.0695 4.6589 7.8857
Ge 4.9022 4.3557 1.6173
Ge 6.2232 5.7249 4.9250
Ge 7.5443 4.3557 1.6173
Ge 4.9022 2.8303 11.1934
Ge 8.0695 2.5270 4.9250
Ge 7.5442 2.8303 11.1934
Ge 6.2232 2.0676 1.6173
Ge 4.3769 4.6589 7.8857
Ge 6.2232 5.1184 11.1934
Pd 6.2232 3.5930 6.4053
Pd 0.0000 0.0000 0.0000
```

Computed properties:
ΔE_f (eV/atom): -0.4529

---

First-principles (PBE) data for HoPuAl2 after structural relaxation, as listed in Alexandria via LeMat-Bulk.

Geometry as extended XYZ:
```
4
Lattice="-2.3882 2.0365 -0.5590 -1.8480 -1.6068 2.0411 2.8251 5.1218 6.5900" Properties=species:S:1:pos:R:3 pbc="T T T"
Al 0.7027 1.2741 1.6393
Al 2.1223 3.8477 4.9507
Pu -0.7056 2.7757 4.0360
Ho -2.1181 0.2148 0.7410
```

Computed properties:
ΔE_f (eV/atom): -0.2514

---

First-principles (PBE) data for VGaTcW after structural relaxation, as listed in Alexandria via LeMat-Bulk.

Geometry as extended XYZ:
```
4
Lattice="-3.3522 -1.1784 2.5515 0.3766 -3.4637 2.6450 0.2411 0.5707 4.3303" Properties=species:S:1:pos:R:3 pbc="T T T"
Tc 0.0000 0.0000 0.0000
W -2.0508 -3.0535 7.1451
Ga -0.6836 -1.0178 2.3817
V -1.3672 -2.0357 4.7634
```

Computed properties:
ΔE_f (eV/atom): -0.0829

---

First-principles (PBE) data for MgSc2VC after structural relaxation, as listed in Alexandria via LeMat-Bulk.

Geometry as extended XYZ:
```
5
Lattice="4.6583 0.0000 0.0000 0.0000 4.6583 0.0000 0.0000 0.0000 4.0347" Properties=species:S:1:pos:R:3 pbc="T T T"
Mg 2.3291 2.3291 2.0173
C 0.0000 0.0000 0.0000
Sc 2.3291 0.0000 0.0000
Sc 0.0000 2.3291 0.0000
V 0.0000 0.0000 2.0173
```

Computed properties:
ΔE_f (eV/atom): -0.2082

---

First-principles (PBE) data for Zn2PRu after structural relaxation, as listed in Alexandria via LeMat-Bulk.

Geometry as extended XYZ:
```
4
Lattice="0.5772 -3.8787 -2.0836 2.3863 -3.7295 0.3395 -2.9514 -2.6285 2.3653" Properties=species:S:1:pos:R:3 pbc="T T T"
Ru -0.1506 -2.5744 0.2710
Zn -0.0686 -7.7327 0.5273
Zn 0.0106 -10.1755 0.6186
P 0.2387 -5.1092 0.1364
```

Computed properties:
ΔE_f (eV/atom): -0.0777

---

First-principles (PBE) data for Mn4Al3H4 after structural relaxation, as listed in Alexandria via LeMat-Bulk.

Geometry as extended XYZ:
```
11
Lattice="-2.6835 3.4128 2.5702 -2.0280 -4.5732 0.6538 4.7564 -0.0134 1.6826" Properties=species:S:1:pos:R:3 pbc="T T T"
Al 1.0364 1.6997 2.1264
Al -2.3558 -0.5802 1.6120
Al 1.3642 -2.2933 1.1682
H 1.2544 -0.0035 0.4437
H -0.7077 0.9000 0.6778
H -0.5348 -1.2060 0.1724
H 0.0330 -0.8642 3.6127
Mn -1.2588 -2.8387 0.4058
Mn 0.0170 -0.4452 1.8610
Mn 2.9524 -0.0083 1.0444
Mn -1.6657 2.1184 1.5954
```

Computed properties:
VASP energy (Ha/atom): -0.203

---

First-principles (PBE) data for AcPm4Sb2 after structural relaxation, as listed in Alexandria via LeMat-Bulk.

Geometry as extended XYZ:
```
7
Lattice="-0.0983 -0.5699 5.8410 4.2227 -4.0638 -0.3254 3.5100 8.0545 -2.1042" Properties=species:S:1:pos:R:3 pbc="T T T"
Pm 5.4863 1.2090 3.1594
Pm 2.1481 2.2119 0.2520
Pm -0.0492 -0.2849 2.9205
Pm 2.1114 -2.0319 -0.1627
Sb 4.2232 4.3486 0.4953
Sb 3.4112 -0.9277 2.9160
Ac 0.0000 0.0000 0.0000
```

Computed properties:
Energy relative to the elements, uncorrected (meV per atom): 396

---

First-principles (PBE) data for CsSn12Au3 after structural relaxation, as listed in Alexandria via LeMat-Bulk.

Geometry as extended XYZ:
```
32
Lattice="8.3279 0.0000 4.0214 3.1930 7.6914 4.0214 -1.9407 -1.2956 14.6526" Properties=species:S:1:pos:R:3 pbc="T T T"
Sn 5.5491 5.6569 16.6759
Sn 7.0251 2.6175 6.7196
Sn 7.1738 6.8157 13.1695
Sn 6.0067 4.0103 14.1614
Sn 10.2090 6.8155 14.6352
Sn 8.4733 5.6567 18.0879
Sn 5.3678 0.8124 4.8182
Sn 6.7080 0.9912 14.0459
Sn 2.3145 -0.4812 16.4744
Sn 3.4870 5.8153 14.0457
Sn 5.1108 5.4844 6.7194
Sn 1.8299 4.0100 12.1444
Sn 2.5622 -0.2418 5.3281
Sn 4.4054 0.1526 12.1445
Sn 9.0451 4.0123 13.1695
Sn 0.4429 2.3220 16.4744
Sn 7.3519 2.9561 16.6757
Sn 0.7590 2.4588 5.3280
Sn 1.2168 0.8122 2.8136
Sn 8.2151 5.4847 8.2186
Sn 1.4845 0.9909 11.5234
Sn 3.6831 2.4590 6.7401
Sn 2.8081 4.6461 4.8181
Sn 3.4781 2.3221 17.9401
Cs 5.2791 3.5244 10.3350
Cs -1.4517 -0.9692 13.6399
Au 4.5088 4.8334 19.0766
Au 7.2399 4.8334 20.3954
Au 8.0466 1.6355 11.7502
Au 6.1928 2.3111 19.0766
Au 4.5957 6.8046 11.7502
Au 2.4498 1.6355 9.0476
```

Computed properties:
ΔE_f (eV/atom): 0.0033

---

First-principles (PBE) data for Na2YMgTc after structural relaxation, as listed in Alexandria via LeMat-Bulk.

Geometry as extended XYZ:
```
5
Lattice="5.8018 0.0000 0.0000 0.0000 5.7793 0.0000 0.0000 0.0000 5.8018" Properties=species:S:1:pos:R:3 pbc="T T T"
Na 0.0000 0.0000 2.9009
Na 2.9009 0.0000 0.0000
Mg 0.0000 2.8897 0.0000
Tc 2.9009 2.8897 2.9009
Y 0.0000 0.0000 0.0000
```

Computed properties:
ΔE_f (eV/atom): 1.8801

---

First-principles (PBE) data for KGaPt2 after structural relaxation, as listed in Alexandria via LeMat-Bulk.

Geometry as extended XYZ:
```
8
Lattice="7.6460 0.0000 0.0000 0.0000 7.6460 0.0000 3.8230 3.8230 3.0277" Properties=species:S:1:pos:R:3 pbc="T T T"
K 3.8230 3.8230 0.0000
K 3.8230 7.6460 1.5139
Pt 6.3182 1.9115 0.7569
Pt 1.3278 5.7345 0.7569
Pt 9.5575 10.1412 2.2708
Pt 5.7345 5.1507 2.2708
Ga 7.6460 3.8230 1.5139
Ga 0.0000 0.0000 0.0000
```

Computed properties:
ΔE_f (eV/atom): -0.0049

---

First-principles (PBE) data for LaScGaPb after structural relaxation, as listed in Alexandria via LeMat-Bulk.

Geometry as extended XYZ:
```
4
Lattice="-3.5358 3.5539 -1.6769 -2.0219 -0.3779 -4.8697 -5.0522 -1.4075 -0.6623" Properties=species:S:1:pos:R:3 pbc="T T T"
Pb 0.0000 0.0000 0.0000
La -7.9575 1.3264 -5.4067
Sc -2.6525 0.4421 -1.8022
Ga -5.3050 0.8843 -3.6045
```

Computed properties:
ΔE_f (eV/atom): -0.4196

---

First-principles (PBE) data for RhCSeBr2 after structural relaxation, as listed in Alexandria via LeMat-Bulk.

Geometry as extended XYZ:
```
5
Lattice="-4.3081 -1.6060 -1.1653 1.9839 -3.4313 -2.6054 0.0353 -2.5717 3.4138" Properties=species:S:1:pos:R:3 pbc="T T T"
Br -2.1541 -0.8030 -0.5827
Br 0.9919 -1.7156 -1.3027
C 0.0000 0.0000 0.0000
Rh -1.1445 -3.8045 -0.1784
Se 0.0176 -1.2859 1.7069
```

Computed properties:
Energy relative to the elements, uncorrected (meV per atom): 1474

---

First-principles (PBE) data for TmZr2UC4 after structural relaxation, as listed in Alexandria via LeMat-Bulk.

Geometry as extended XYZ:
```
8
Lattice="-1.6763 -2.9599 0.3280 1.9552 -1.7020 -5.3653 5.1298 -2.8318 0.6622" Properties=species:S:1:pos:R:3 pbc="T T T"
C 5.3571 -3.4277 -3.5525
C 3.5897 -4.0791 -0.6612
C 0.0516 -4.0660 -0.8225
C 1.8190 -3.4146 -3.7138
Tm 3.5425 -2.2669 -2.3515
Zr 5.1298 -2.8318 0.6622
Zr 1.7267 -2.8959 0.4951
U 0.1395 -2.3310 -2.5186
```

Computed properties:
ΔE_f (eV/atom): -0.5396

---

First-principles (PBE) data for VHPdPt2 after structural relaxation, as listed in Alexandria via LeMat-Bulk.

Geometry as extended XYZ:
```
5
Lattice="3.9435 0.0000 0.0000 0.0000 3.9435 0.0000 0.0000 0.0000 4.0616" Properties=species:S:1:pos:R:3 pbc="T T T"
Pd 1.9718 1.9718 2.0308
V 0.0000 0.0000 2.0308
Pt 1.9718 0.0000 0.0000
Pt 0.0000 1.9718 0.0000
H 0.0000 0.0000 0.0000
```

Computed properties:
VASP energy (Ha/atom): -0.225

---

First-principles (PBE) data for Pm4Nd6Tm after structural relaxation, as listed in Alexandria via LeMat-Bulk.

Geometry as extended XYZ:
```
11
Lattice="2.4842 9.5894 -0.0962 -5.7664 -6.4432 -4.8344 -6.1188 -6.2568 4.6421" Properties=species:S:1:pos:R:3 pbc="T T T"
Nd -7.5328 -7.9494 1.5592
Nd -7.4078 -8.0155 -1.8009
Nd -0.7044 3.7232 -0.0994
Nd -1.8173 1.6663 2.2730
Nd -1.6411 1.5731 -2.4653
Nd -5.6411 -3.5689 -0.1396
Tm 0.0000 0.0000 0.0000
Pm -3.7360 -4.1678 -3.0183
Pm -10.1968 -6.5694 -0.2501
Pm -3.9559 -4.0515 2.8939
Pm -3.3974 -1.0219 -0.1063
```

Computed properties:
ΔE_f (eV/atom): 0.2765

---

First-principles (PBE) data for ZrSc2Mo after structural relaxation, as listed in Alexandria via LeMat-Bulk.

Geometry as extended XYZ:
```
4
Lattice="2.9318 0.0000 0.0000 0.0000 4.6747 0.0000 0.0000 0.0000 6.0459" Properties=species:S:1:pos:R:3 pbc="T T T"
Mo 1.4659 2.3374 4.5351
Sc 0.0000 0.0000 5.9470
Sc 1.4659 2.3374 1.5199
Zr 0.0000 0.0000 3.1127
```

Computed properties:
ΔE_f (eV/atom): 0.2086

---

First-principles (PBE) data for Cu5Mo3H12 after structural relaxation, as listed in Alexandria via LeMat-Bulk.

Geometry as extended XYZ:
```
80
Lattice="9.2177 0.0000 0.0000 -3.0726 8.6905 0.0000 -3.0726 -4.3453 7.5262" Properties=species:S:1:pos:R:3 pbc="T T T"
H 3.9777 1.3600 1.0499
H 1.9628 0.9574 2.4626
H 4.6525 2.3144 2.7132
H -0.9051 2.9853 6.4763
H 0.9051 0.5834 4.4159
H 6.3935 4.3423 1.3005
H 1.7846 5.4730 0.6477
H 3.4991 3.8266 5.8235
H 1.4926 5.6795 3.1154
H -2.6460 3.9065 4.1653
H -1.9628 4.8639 5.8235
H 5.0354 -0.5187 1.7027
H 6.1014 0.9801 0.4022
H -3.7037 2.4019 5.4658
H 1.7846 3.2204 0.6528
H 5.7186 0.4387 3.3609
H -0.6312 4.9287 3.1103
H 6.7763 1.9434 2.0604
H 1.2879 1.1248 6.8734
H -3.3209 0.0030 6.2257
H 2.6460 -0.9574 2.4626
H 4.3605 4.3482 1.3005
H 2.1675 3.7618 3.1103
H -3.1163 6.3761 2.7132
H 1.5800 -1.3343 4.4108
H -0.2484 3.2175 0.6477
H -3.0289 3.3652 7.1240
H -0.2484 5.4701 0.6528
H 3.3209 1.1278 6.8785
H -2.4414 7.3305 1.0499
H 3.7037 -0.5834 4.4159
H 1.2879 -1.1278 6.8785
H -1.5800 2.0309 4.8130
H 3.3209 -1.1248 6.8734
H -0.9051 -2.4019 5.4658
H -1.1098 -0.4387 3.3609
H 3.0289 1.3343 4.4108
H 3.9777 6.7471 2.0604
H 0.0437 3.0110 3.1154
H 5.5139 -2.9853 6.4763
H -1.2879 -0.0030 6.2257
H 4.1823 4.7840 4.1653
H 6.1888 -2.0309 4.8130
H 4.6525 7.7104 0.4022
H -1.5800 -3.3652 7.1240
H 1.1098 3.3879 5.0636
H 0.4265 5.3026 5.0636
H -0.4265 0.5187 1.7027
Cu 1.5363 2.1726 3.7631
Cu -1.5363 4.3453 0.0000
Cu 5.3770 -0.5432 4.7039
Cu -1.5363 -2.1726 3.7631
Cu -3.0726 2.1726 3.7631
Cu 3.8407 3.8021 2.8223
Cu -0.7681 0.5432 4.7039
Cu 0.7681 -2.1726 5.6446
Cu 2.3044 1.6295 0.9408
Cu 2.3044 6.5179 1.8815
Cu 3.8407 -2.7158 6.5854
Cu 0.7681 2.7158 6.5854
Cu 3.0726 -2.1726 3.7631
Cu 3.0726 4.3453 0.0000
Cu 4.6088 0.0000 0.0000
Cu -0.7681 7.0610 0.9408
Cu -2.3044 4.8884 2.8223
Cu -0.7681 2.1726 1.8815
Cu 0.0000 0.0000 0.0000
Cu 3.8407 2.1726 5.6446
Mo 5.3770 5.9747 0.9408
Mo 0.7681 4.3453 1.8815
Mo 2.3044 4.8884 4.7039
Mo -2.3044 -1.6295 6.5854
Mo 6.9133 0.0000 1.8815
Mo 2.3044 0.0000 5.6446
Mo -2.3044 1.6295 6.5854
Mo 0.7681 -0.5432 2.8223
Mo 3.8407 0.5432 2.8223
Mo -0.7681 3.8021 4.7039
Mo 5.3770 2.7158 0.9408
Mo -3.8407 4.3453 5.6446
```

Computed properties:
VASP energy (Ha/atom): -0.163

---

no.,D(E_F) (states/eV per cell),magnetization (μB per formula unit)
1,11.926,5.865
2,4.841,0.000
3,2.398,1.041
4,10.907,0.000
5,7.175,5.320
6,2.511,1.951
7,4.439,1.780
8,2.187,0.000
9,8.400,7.154
10,10.719,0.001
11,11.183,0.000
12,6.521,2.516
13,2.615,0.000
14,3.005,0.001
15,4.843,2.054
16,3.635,0.000
17,4.428,2.058
18,17.887,0.000
19,5.907,0.000
20,31.159,0.001